(1)
# Hg3BiI9

Crystalline Hg3BiI9 at its relaxed geometry (PBE, the Alexandria database).

For the formation energy without anion corrections, the calculation gives -0.29 eV per atom. The calculation puts the density at 5.07 g/cm3. As for the energy: -1.7346 eV per atom.

abc: 20.670 10.662 14.942
angles: 90.00 128.98 90.00
Space group Cc (No. 9)
Unique sites:
Hg 0.000 0.072 0.000 (multiplicity 4)
Hg 0.265 0.386 0.653 (multiplicity 4)
Hg 0.370 0.079 0.560 (multiplicity 4)
Bi 0.139 0.270 0.835 (multiplicity 4)
I 0.031 0.029 0.704 (multiplicity 4)
I 0.130 0.435 0.654 (multiplicity 4)
I 0.139 0.193 0.040 (multiplicity 4)
I 0.224 0.157 0.529 (multiplicity 4)
I 0.280 0.123 0.873 (multiplicity 4)
I 0.286 0.425 0.035 (multiplicity 4)
I 0.374 0.236 0.409 (multiplicity 4)
I 0.435 0.355 0.855 (multiplicity 4)
I 0.493 0.030 0.272 (multiplicity 4)

(2)
# Tl3CdBr6

Crystalline Tl3CdBr6 at its relaxed geometry (PBE, the Alexandria database).

For the formation energy without anion corrections, the calculation gives -0.75 eV per atom. The calculation puts the density at 5.80 g/cm3. As for the energy: -2.5519 eV per atom. The value obtained for the energy above the most stable polymorph in this dataset is 0 meV/atom.

abc: 7.595 8.164 13.440
angles: 90.00 124.18 90.00
Space group P2_1/c (No. 14)
Unique sites:
Tl 0.000 0.000 0.000 (multiplicity 2)
Tl 0.218 0.087 0.749 (multiplicity 4)
Cd 0.500 0.000 0.500 (multiplicity 2)
Br 0.149 0.184 0.452 (multiplicity 4)
Br 0.269 0.705 0.450 (multiplicity 4)
Br 0.364 0.020 0.260 (multiplicity 4)

(3)
# La11Hg9Ir4

Crystalline La11Hg9Ir4 at its relaxed geometry (PBE, the Alexandria database).

The calculation puts the density at 10.37 g/cm3. As for the energy: -4.4605 eV per atom.

abc: 15.054 22.551 3.871
angles: 90.00 90.00 90.00
Space group Cmmm (No. 65)
Unique sites:
La 0.000 0.000 0.000 (multiplicity 2)
La 0.000 0.165 0.000 (multiplicity 4)
La 0.000 0.373 0.000 (multiplicity 4)
La 0.193 0.500 0.000 (multiplicity 4)
La 0.249 0.333 0.000 (multiplicity 8)
Hg 0.000 0.500 0.500 (multiplicity 2)
Hg 0.106 0.260 0.500 (multiplicity 8)
Hg 0.140 0.073 0.500 (multiplicity 8)
Ir 0.150 0.399 0.500 (multiplicity 8)

(4)
# Tb3Pm6NdHo2

Crystalline Tb3Pm6NdHo2 at its relaxed geometry (PBE, the Alexandria database).

The calculation puts the density at 7.59 g/cm3. As for the energy: -4.6802 eV per atom.

abc: 6.259 10.837 11.926
angles: 90.00 100.05 90.00
Space group C2/m (No. 12)
Unique sites:
Tb 0.000 0.000 0.000 (multiplicity 2)
Tb 0.000 0.333 0.000 (multiplicity 4)
Pm 0.249 0.167 0.249 (multiplicity 8)
Pm 0.250 0.000 0.751 (multiplicity 4)
Nd 0.000 0.500 0.500 (multiplicity 2)
Ho 0.000 0.167 0.500 (multiplicity 4)

(5)
# Ca2Bi3O8

Crystalline Ca2Bi3O8 at its relaxed geometry (PBE, the Alexandria database).

For the formation energy without anion corrections, the calculation gives -1.58 eV per atom. The calculation puts the density at 6.33 g/cm3. As for the energy: -5.8345 eV per atom. The value obtained for the energy above the most stable polymorph in this dataset is 24 meV/atom.

abc: 7.0005 7.0005 10.3190
angles: 90.00 90.00 120.00
Space group P6_3mc (No. 186)
Unique sites:
Ca 0.3333 0.6667 0.0000 (multiplicity 2)
Ca 0.3333 0.6667 0.3541 (multiplicity 2)
Bi 0.1665 0.3330 0.7136 (multiplicity 6)
O 0.0000 0.0000 0.3165 (multiplicity 2)
O 0.0472 0.5236 0.8390 (multiplicity 6)
O 0.1725 0.3450 0.1288 (multiplicity 6)
O 0.3333 0.6667 0.5913 (multiplicity 2)

(6)
# Eu2LuGa

Crystalline Eu2LuGa at its relaxed geometry (PBE, the Alexandria database).

The calculation puts the density at 7.43 g/cm3. As for the energy: -7.1669 eV per atom. The value obtained for the energy above the most stable polymorph in this dataset is 0 meV/atom.

abc: 3.695 3.695 8.979
angles: 90.00 90.00 90.00
Space group P4/mmm (No. 123)
Unique sites:
Eu 0.000 0.000 0.207 (multiplicity 2)
Lu 0.500 0.500 0.500 (multiplicity 1)
Ga 0.500 0.500 0.000 (multiplicity 1)

> energy of number 5 (Ca2Bi3O8)?

-5.8345 eV per atom